Record 1
! Ba5TlHg4 PBE optimized geometry; values from VASP
! Calculated formation energy: -505 meV per atom
! SG: P4/mmm
! Crystal system: tetragonal
! VASP energy: -18.24 eV/cell
&SYSTEM
  ibrav = 0, nat = 10, ntyp = 3
/
ATOMIC_SPECIES
Ba 137.33 Ba.upf
Tl 204.38 Tl.upf
Hg 200.59 Hg.upf
CELL_PARAMETERS angstrom
4.2333 0.0000 0.0000
0.0000 4.2333 0.0000
0.0000 0.0000 21.0687
ATOMIC_POSITIONS crystal
Ba 0.5000 0.5000 0.1026
Ba 0.5000 0.5000 0.3009
Ba 0.5000 0.5000 0.5000
Ba 0.5000 0.5000 0.6991
Ba 0.5000 0.5000 0.8974
Tl 0.0000 0.0000 0.0000
Hg 0.0000 0.0000 0.2015
Hg 0.0000 0.0000 0.4014
Hg 0.0000 0.0000 0.5986
Hg 0.0000 0.0000 0.7985

Record 2
! GdHoCdIn PBE optimized geometry; values from VASP
! Calculated formation energy: -419 meV per atom
! SG: F-43m
! Crystal system: cubic
! VASP energy: -23.99 eV/cell
&SYSTEM
  ibrav = 0, nat = 4, ntyp = 4
/
ATOMIC_SPECIES
Cd 112.41 Cd.upf
Gd 157.25 Gd.upf
Ho 164.93 Ho.upf
In 114.82 In.upf
CELL_PARAMETERS angstrom
5.3131 0.0000 0.0000
2.6566 4.6013 0.0000
2.6566 1.5338 4.3381
ATOMIC_POSITIONS crystal
Cd 0.7500 0.7500 0.7500
Gd 0.5000 0.5000 0.5000
Ho 0.0000 0.0000 0.0000
In 0.2500 0.2500 0.2500

Record 3
! Ba2MoPtBr PBE optimized geometry; values from VASP
! SG: P4/mmm
! ΔE_f (raw): 186 kJ/mol of formula units
! Crystal system: tetragonal
! VASP energy: -20.46 eV/cell
&SYSTEM
  ibrav = 0, nat = 5, ntyp = 4
/
ATOMIC_SPECIES
Mo 95.94 Mo.upf
Br 79.90 Br.upf
Ba 137.33 Ba.upf
Pt 195.08 Pt.upf
CELL_PARAMETERS angstrom
-5.7531 2.1408 0.0085
-0.0717 -0.2112 4.6996
2.1388 5.7465 0.2909
ATOMIC_POSITIONS crystal
Mo 0.0000 0.5000 0.0000
Br 0.0000 0.0000 0.0000
Ba 0.0000 0.0000 0.5000
Ba 0.5000 0.0000 0.0000
Pt 0.5000 0.5000 0.5000

Record 4
! BaRe2Ru PBE optimized geometry; values from VASP
! Calculated formation energy: 1573 meV per atom
! SG: Fm-3m
! Crystal system: cubic
! Energy above the most stable polymorph in this dataset: 0.9945 eV/atom
! VASP energy: -29.80 eV/cell
&SYSTEM
  ibrav = 0, nat = 4, ntyp = 3
/
ATOMIC_SPECIES
Re 186.21 Re.upf
Ba 137.33 Ba.upf
Ru 101.07 Ru.upf
CELL_PARAMETERS angstrom
-0.3509 -2.2640 4.0972
0.9438 2.2474 4.0118
-3.4760 1.0538 2.9738
ATOMIC_POSITIONS crystal
Re 0.2500 0.2500 0.2500
Re 0.7500 0.7500 0.7500
Ba 0.5000 0.5000 0.5000
Ru 0.0000 0.0000 0.0000

Record 5
! CsAsH PBE optimized geometry; values from VASP
! SG: P-1
! Crystal system: triclinic
! Energy above the most stable polymorph in this dataset: 0.0000 eV/atom
! VASP energy: -19.54 eV/cell
&SYSTEM
  ibrav = 0, nat = 6, ntyp = 3
/
ATOMIC_SPECIES
Cs 132.91 Cs.upf
As 74.92 As.upf
H 1.01 H.upf
CELL_PARAMETERS angstrom
-2.2402 -4.9333 -1.7896
1.7041 -2.3219 4.2850
-4.2021 3.8318 3.7445
ATOMIC_POSITIONS crystal
Cs 0.1830 0.6835 0.1376
Cs 0.4408 0.2492 0.6556
As 0.7394 0.1365 0.2505
As 0.8837 0.7958 0.5422
H 0.6513 0.9211 0.0726
H 0.9714 0.0112 0.7201

Record 6
! InSn2Pd8 PBE optimized geometry; values from VASP
! Calculated formation energy: -475 meV per atom
! SG: Immm
! Crystal system: orthorhombic
! Energy above the most stable polymorph in this dataset: 0.0000 eV/atom
! VASP energy: -57.51 eV/cell
&SYSTEM
  ibrav = 0, nat = 11, ntyp = 3
/
ATOMIC_SPECIES
In 114.82 In.upf
Sn 118.71 Sn.upf
Pd 106.42 Pd.upf
CELL_PARAMETERS angstrom
3.9695 0.0000 -1.2081
-1.1041 6.3878 -3.6279
0.1127 -0.0429 7.4957
ATOMIC_POSITIONS crystal
In 0.5000 0.0000 0.0000
Sn 0.1768 0.6768 0.3536
Sn 0.8232 0.3232 0.6464
Pd 0.6631 0.8992 0.3263
Pd 0.3369 0.5730 0.6737
Pd 0.1558 0.1558 0.3116
Pd 0.0000 0.2839 0.0000
Pd 0.8442 0.8442 0.6884
Pd 0.6631 0.4270 0.3263
Pd 0.3369 0.1008 0.6737
Pd 0.0000 0.7161 0.0000

Record 7
! LiLaHo2 PBE optimized geometry; values from VASP
! Calculated formation energy: 198 meV per atom
! SG: P4/mmm
! Crystal system: tetragonal
! Energy above the most stable polymorph in this dataset: 0.1092 eV/atom
! VASP energy: -15.20 eV/cell
&SYSTEM
  ibrav = 0, nat = 4, ntyp = 3
/
ATOMIC_SPECIES
Li 6.94 Li.upf
Ho 164.93 Ho.upf
La 138.91 La.upf
CELL_PARAMETERS angstrom
3.7147 0.0000 0.0000
0.0000 5.6901 0.0000
0.0000 0.0000 5.6901
ATOMIC_POSITIONS crystal
Li 0.5000 0.5000 0.5000
Ho 0.0000 0.0000 0.5000
Ho 0.0000 0.5000 0.0000
La 0.5000 0.0000 0.0000

Record 8
! CaZrGa4 PBE optimized geometry; values from VASP
! Calculated formation energy: -378 meV per atom
! SG: F-43m
! Crystal system: cubic
! VASP energy: -24.93 eV/cell
&SYSTEM
  ibrav = 0, nat = 6, ntyp = 3
/
ATOMIC_SPECIES
Ca 40.08 Ca.upf
Ga 69.72 Ga.upf
Zr 91.22 Zr.upf
CELL_PARAMETERS angstrom
5.4204 0.0000 0.0000
2.7102 4.6942 0.0000
2.7102 1.5647 4.4257
ATOMIC_POSITIONS crystal
Ca 0.2500 0.2500 0.2500
Ga 0.6254 0.6254 0.1239
Ga 0.6254 0.1239 0.6254
Ga 0.6254 0.6254 0.6254
Ga 0.1239 0.6254 0.6254
Zr 0.0000 0.0000 0.0000